Entry 1:
A geometry-optimized Cd3Cu8Sn structure, computed with GGA-PBE.

Structure (CIF):
```
data_Cd3Cu8Sn
_chemical_formula_sum 'Cd9 Cu24 Sn3'
_symmetry_space_group_name_H-M 'R 3 m'
_symmetry_Int_Tables_number 160
_symmetry_space_group_name_Hall 'R 3 -2"'
_cell_length_a 5.0632
_cell_length_b 5.0632
_cell_length_c 24.5042
_cell_angle_alpha 90.00
_cell_angle_beta 90.00
_cell_angle_gamma 120.00
loop_
_atom_site_label
_atom_site_type_symbol
_atom_site_fract_x
_atom_site_fract_y
_atom_site_fract_z
_atom_site_occupancy
Cd1 Cd 0.0000 0.0000 0.0000 1
Cd2 Cd 0.0000 0.0000 0.1234 1
Cd3 Cd 0.0000 0.0000 0.6296 1
Cu1 Cu 0.0000 0.0000 0.3138 1
Cu2 Cu 0.0000 0.0000 0.8138 1
Cu3 Cu 0.0005 0.5002 0.0638 1
Cu4 Cu 0.1671 0.3342 0.8973 1
Sn1 Sn 0.0000 0.0000 0.5027 1
```

Calculated values
Calculated formation energy (eV/atom): 0.003
Electronic total energy (eV/atom): -3.2898

=====

Entry 2:
A geometry-optimized TiMnMoPt structure, computed with GGA-PBE.

Structure (CIF):
```
data_TiMnMoPt
_chemical_formula_sum 'Ti4 Mn4 Mo4 Pt4'
_symmetry_space_group_name_H-M 'F -4 3 m'
_symmetry_Int_Tables_number 216
_symmetry_space_group_name_Hall 'F -4 2 3'
_cell_length_a 6.197
_cell_length_b 6.197
_cell_length_c 6.197
_cell_angle_alpha 90.00
_cell_angle_beta 90.00
_cell_angle_gamma 90.00
loop_
_atom_site_label
_atom_site_type_symbol
_atom_site_fract_x
_atom_site_fract_y
_atom_site_fract_z
_atom_site_occupancy
Ti1 Ti 0.000 0.000 0.000 1
Mn1 Mn 0.000 0.000 0.500 1
Mo1 Mo 0.250 0.250 0.750 1
Pt1 Pt 0.250 0.250 0.250 1
```

Calculated values
Calculated formation energy (eV/atom): -0.355
Electronic total energy (eV/atom): -8.8393

=====

Entry 3:
A geometry-optimized Ac2Zn6AgRh structure, computed with GGA-PBE.

Structure (CIF):
```
data_Ac2Zn6AgRh
_chemical_formula_sum 'Ac2 Zn6 Ag1 Rh1'
_symmetry_space_group_name_H-M 'P -1'
_symmetry_Int_Tables_number 2
_symmetry_space_group_name_Hall '-P 1'
_cell_length_a 6.744
_cell_length_b 6.756
_cell_length_c 6.809
_cell_angle_alpha 60.44
_cell_angle_beta 60.50
_cell_angle_gamma 60.11
loop_
_atom_site_label
_atom_site_type_symbol
_atom_site_fract_x
_atom_site_fract_y
_atom_site_fract_z
_atom_site_occupancy
Ac1 Ac 0.200 0.204 0.396 1
Zn1 Zn 0.244 0.247 0.865 1
Zn2 Zn 0.247 0.645 0.863 1
Zn3 Zn 0.356 0.756 0.136 1
Ag1 Ag 0.500 0.500 0.500 1
Rh1 Rh 0.000 0.000 0.000 1
```

Calculated values
Calculated formation energy (eV/atom): -0.254
Electronic total energy (eV/atom): -2.8606

=====

Entry 4:
A geometry-optimized RbTiB3 structure, computed with GGA-PBE.

Structure (CIF):
```
data_RbTiB3
_chemical_formula_sum 'Rb1 Ti1 B3'
_symmetry_space_group_name_H-M 'P m -3 m'
_symmetry_Int_Tables_number 221
_symmetry_space_group_name_Hall '-P 4 2 3'
_cell_length_a 4.525
_cell_length_b 4.525
_cell_length_c 4.525
_cell_angle_alpha 90.00
_cell_angle_beta 90.00
_cell_angle_gamma 90.00
loop_
_atom_site_label
_atom_site_type_symbol
_atom_site_fract_x
_atom_site_fract_y
_atom_site_fract_z
_atom_site_occupancy
Rb1 Rb 0.000 0.000 0.000 1
Ti1 Ti 0.500 0.500 0.500 1
B1 B 0.000 0.500 0.500 1
```

Calculated values
Calculated formation energy (eV/atom): 1.492
Electronic total energy (eV/atom): -4.2871

=====

Entry 5:
A geometry-optimized AlAg2Bi structure, computed with GGA-PBE.

Structure (CIF):
```
data_AlAg2Bi
_chemical_formula_sum 'Al1 Ag2 Bi1'
_symmetry_space_group_name_H-M 'P 4/m m m'
_symmetry_Int_Tables_number 123
_symmetry_space_group_name_Hall '-P 4 2'
_cell_length_a 3.197
_cell_length_b 3.197
_cell_length_c 8.165
_cell_angle_alpha 90.00
_cell_angle_beta 90.00
_cell_angle_gamma 90.00
loop_
_atom_site_label
_atom_site_type_symbol
_atom_site_fract_x
_atom_site_fract_y
_atom_site_fract_z
_atom_site_occupancy
Al1 Al 0.000 0.000 0.000 1
Ag1 Ag 0.500 0.500 0.200 1
Bi1 Bi 0.000 0.000 0.500 1
```

Calculated values
Calculated formation energy (eV/atom): 0.082
Electronic total energy (eV/atom): -3.2494

=====

Entry 6:
A geometry-optimized DyTi2ReC4 structure, computed with GGA-PBE.

Structure (CIF):
```
data_DyTi2ReC4
_chemical_formula_sum 'Dy4 Ti8 Re4 C16'
_symmetry_space_group_name_H-M 'C m c m'
_symmetry_Int_Tables_number 63
_symmetry_space_group_name_Hall '-C 2c 2'
_cell_length_a 3.195
_cell_length_b 11.319
_cell_length_c 11.058
_cell_angle_alpha 90.00
_cell_angle_beta 90.00
_cell_angle_gamma 90.00
loop_
_atom_site_label
_atom_site_type_symbol
_atom_site_fract_x
_atom_site_fract_y
_atom_site_fract_z
_atom_site_occupancy
Dy1 Dy 0.000 0.107 0.250 1
Ti1 Ti 0.000 0.372 0.035 1
Re1 Re 0.000 0.158 0.750 1
C1 C 0.000 0.000 0.000 1
C2 C 0.000 0.261 0.612 1
C3 C 0.000 0.447 0.250 1
```

Calculated values
Calculated formation energy (eV/atom): -0.268
Electronic total energy (eV/atom): -8.9853

=====

Entry 7:
A geometry-optimized SrHgBi4 structure, computed with GGA-PBE.

Structure (CIF):
```
data_SrHgBi4
_chemical_formula_sum 'Sr2 Hg2 Bi8'
_symmetry_space_group_name_H-M 'I m m m'
_symmetry_Int_Tables_number 71
_symmetry_space_group_name_Hall '-I 2 2'
_cell_length_a 5.493
_cell_length_b 6.902
_cell_length_c 10.515
_cell_angle_alpha 90.00
_cell_angle_beta 90.00
_cell_angle_gamma 90.00
loop_
_atom_site_label
_atom_site_type_symbol
_atom_site_fract_x
_atom_site_fract_y
_atom_site_fract_z
_atom_site_occupancy
Sr1 Sr 0.000 0.000 0.000 1
Hg1 Hg 0.000 0.500 0.000 1
Bi1 Bi 0.000 0.228 0.328 1
```

Calculated values
Calculated formation energy (eV/atom): -0.261
Electronic total energy (eV/atom): -3.1793

=====

Entry 8:
A geometry-optimized MgZnRh2 structure, computed with GGA-PBE.

Structure (CIF):
```
data_MgZnRh2
_chemical_formula_sum 'Mg4 Zn4 Rh8'
_symmetry_space_group_name_H-M 'F m -3 m'
_symmetry_Int_Tables_number 225
_symmetry_space_group_name_Hall '-F 4 2 3'
_cell_length_a 6.131
_cell_length_b 6.131
_cell_length_c 6.131
_cell_angle_alpha 90.00
_cell_angle_beta 90.00
_cell_angle_gamma 90.00
loop_
_atom_site_label
_atom_site_type_symbol
_atom_site_fract_x
_atom_site_fract_y
_atom_site_fract_z
_atom_site_occupancy
Mg1 Mg 0.000 0.000 0.000 1
Zn1 Zn 0.000 0.000 0.500 1
Rh1 Rh 0.250 0.250 0.250 1
```

Calculated values
Calculated formation energy (eV/atom): -0.434
Electronic total energy (eV/atom): -4.8266

=====

Entry 9:
A geometry-optimized LaFe3Tc structure, computed with GGA-PBE.

Structure (CIF):
```
data_LaFe3Tc
_chemical_formula_sum 'La1 Fe3 Tc1'
_symmetry_space_group_name_H-M 'P m -3 m'
_symmetry_Int_Tables_number 221
_symmetry_space_group_name_Hall '-P 4 2 3'
_cell_length_a 4.475
_cell_length_b 4.475
_cell_length_c 4.475
_cell_angle_alpha 90.00
_cell_angle_beta 90.00
_cell_angle_gamma 90.00
loop_
_atom_site_label
_atom_site_type_symbol
_atom_site_fract_x
_atom_site_fract_y
_atom_site_fract_z
_atom_site_occupancy
La1 La 0.000 0.000 0.000 1
Fe1 Fe 0.000 0.000 0.500 1
Tc1 Tc 0.500 0.500 0.500 1
```

Calculated values
Calculated formation energy (eV/atom): 1.966
Electronic total energy (eV/atom): -6.1703

=====

Entry 10:
A geometry-optimized KNiAs2 structure, computed with GGA-PBE.

Structure (CIF):
```
data_KNiAs2
_chemical_formula_sum 'K1 Ni1 As2'
_symmetry_space_group_name_H-M 'P m m m'
_symmetry_Int_Tables_number 47
_symmetry_space_group_name_Hall '-P 2 2'
_cell_length_a 3.106
_cell_length_b 3.994
_cell_length_c 6.898
_cell_angle_alpha 90.00
_cell_angle_beta 90.00
_cell_angle_gamma 90.00
loop_
_atom_site_label
_atom_site_type_symbol
_atom_site_fract_x
_atom_site_fract_y
_atom_site_fract_z
_atom_site_occupancy
K1 K 0.000 0.000 0.000 1
Ni1 Ni 0.500 0.000 0.500 1
As1 As 0.500 0.500 0.317 1
```

Calculated values
Calculated formation energy (eV/atom): -0.190
Electronic total energy (eV/atom): -4.2349

=====

Entry 11:
A geometry-optimized LiAcYPd structure, computed with GGA-PBE.

Structure (CIF):
```
data_LiAcYPd
_chemical_formula_sum 'Li4 Ac4 Y4 Pd4'
_symmetry_space_group_name_H-M 'F -4 3 m'
_symmetry_Int_Tables_number 216
_symmetry_space_group_name_Hall 'F -4 2 3'
_cell_length_a 7.471
_cell_length_b 7.471
_cell_length_c 7.471
_cell_angle_alpha 90.00
_cell_angle_beta 90.00
_cell_angle_gamma 90.00
loop_
_atom_site_label
_atom_site_type_symbol
_atom_site_fract_x
_atom_site_fract_y
_atom_site_fract_z
_atom_site_occupancy
Li1 Li 0.000 0.000 0.000 1
Ac1 Ac 0.250 0.250 0.750 1
Y1 Y 0.250 0.250 0.250 1
Pd1 Pd 0.000 0.000 0.500 1
```

Calculated values
Calculated formation energy (eV/atom): -0.308
Electronic total energy (eV/atom): -4.7273

=====

Entry 12:
A geometry-optimized MnPSeSN structure, computed with GGA-PBE.

Structure (CIF):
```
data_MnPSeSN
_chemical_formula_sum 'Mn1 P1 Se1 S1 N1'
_symmetry_space_group_name_H-M 'P 1'
_symmetry_Int_Tables_number 1
_symmetry_space_group_name_Hall 'P 1'
_cell_length_a 3.136
_cell_length_b 5.699
_cell_length_c 6.487
_cell_angle_alpha 77.81
_cell_angle_beta 77.56
_cell_angle_gamma 74.06
loop_
_atom_site_label
_atom_site_type_symbol
_atom_site_fract_x
_atom_site_fract_y
_atom_site_fract_z
_atom_site_occupancy
Mn1 Mn 0.000 0.000 0.000 1
P1 P 0.124 0.473 0.312 1
Se1 Se 0.661 0.897 0.755 1
S1 S 0.344 0.296 0.020 1
N1 N 0.029 0.759 0.206 1
```

Calculated values
Formation energy from raw total energies (eV/atom): -0.01
Electronic total energy (eV/atom): -6.1167